[1]
# LiNdMoN3

LiNdMoN3 after structural relaxation (PBE-GGA, the Alexandria database).

Properties
Formation energy from raw total energies = -698 meV/atom

Cell and atoms, written as CIF:
```
data_LiNdMoN3
_space_group_name_H-M_alt 'C m c m'
_space_group_IT_number 63
_space_group_name_Hall '-C 2c 2'
_cell_length_a 3.357
_cell_length_b 11.880
_cell_length_c 8.019
_cell_angle_alpha 90.00
_cell_angle_beta 90.00
_cell_angle_gamma 90.00
loop_
_atom_site_label
_atom_site_type_symbol
_atom_site_fract_x
_atom_site_fract_y
_atom_site_fract_z
Li1 Li 0.000 0.000 0.000
Nd1 Nd 0.000 0.291 0.250
Mo1 Mo 0.000 0.447 0.750
N1 N 0.000 0.052 0.750
N2 N 0.000 0.355 0.570
```

[2]
# SbCCl2

SbCCl2 after structural relaxation (PBE-GGA, the Alexandria database).

Properties
Distance to the lowest polymorph of the same formula = 0.000 eV per atom
Formation energy from raw total energies = 1159 meV/atom

Cell and atoms, written as CIF:
```
data_SbCCl2
_space_group_name_H-M_alt 'R -3 m'
_space_group_IT_number 166
_space_group_name_Hall '-R 3 2"'
_cell_length_a 3.2216
_cell_length_b 3.2216
_cell_length_c 29.3595
_cell_angle_alpha 90.00
_cell_angle_beta 90.00
_cell_angle_gamma 120.00
loop_
_atom_site_label
_atom_site_type_symbol
_atom_site_fract_x
_atom_site_fract_y
_atom_site_fract_z
Sb1 Sb 0.0000 0.0000 0.0000
C1 C 0.0000 0.0000 0.5000
Cl1 Cl 0.0000 0.0000 0.4455
```

[3]
# KU6Se12

KU6Se12 after structural relaxation (PBE-GGA, the Alexandria database).

Properties
Formation energy from raw total energies = -1035 meV/atom

Cell and atoms, written as CIF:
```
data_KU6Se12
_space_group_name_H-M_alt 'R -3 m'
_space_group_IT_number 166
_space_group_name_Hall '-R 3 2"'
_cell_length_a 13.5904
_cell_length_b 13.5904
_cell_length_c 9.9812
_cell_angle_alpha 90.00
_cell_angle_beta 90.00
_cell_angle_gamma 120.00
loop_
_atom_site_label
_atom_site_type_symbol
_atom_site_fract_x
_atom_site_fract_y
_atom_site_fract_z
K1 K 0.0000 0.0000 0.0000
U1 U 0.0634 0.5317 0.2736
Se1 Se 0.0000 0.3717 0.5000
Se2 Se 0.0860 0.1720 0.3477
```

[4]
# Sc2CuGe2

Sc2CuGe2 after structural relaxation (PBE-GGA, the Alexandria database).

Properties
Energy of formation = -0.6536 eV per atom
Distance to the lowest polymorph of the same formula = 0.030 eV per atom

Cell and atoms, written as CIF:
```
data_Sc2CuGe2
_space_group_name_H-M_alt 'P 4/m b m'
_space_group_IT_number 127
_space_group_name_Hall '-P 4 2ab'
_cell_length_a 6.585
_cell_length_b 6.585
_cell_length_c 4.105
_cell_angle_alpha 90.00
_cell_angle_beta 90.00
_cell_angle_gamma 90.00
loop_
_atom_site_label
_atom_site_type_symbol
_atom_site_fract_x
_atom_site_fract_y
_atom_site_fract_z
Sc1 Sc 0.171 0.329 0.000
Cu1 Cu 0.000 0.000 0.500
Ge1 Ge 0.136 0.636 0.500
```

[5]
# TaBRu3

TaBRu3 after structural relaxation (PBE-GGA, the Alexandria database).

Properties
Energy of formation = -0.2269 eV per atom

Cell and atoms, written as CIF:
```
data_TaBRu3
_space_group_name_H-M_alt 'P 1'
_space_group_IT_number 1
_cell_length_a 5.309
_cell_length_b 5.361
_cell_length_c 5.505
_cell_angle_alpha 106.37
_cell_angle_beta 90.50
_cell_angle_gamma 115.68
loop_
_space_group_symop_operation_xyz
'x,y,z'
loop_
_atom_site_label
_atom_site_type_symbol
_atom_site_fract_x
_atom_site_fract_y
_atom_site_fract_z
Ta1 Ta 0.000 0.000 0.000
Ta2 Ta 0.377 0.476 0.472
B1 B 0.099 0.339 0.798
B2 B 0.284 0.733 0.874
Ru1 Ru 0.036 0.577 0.171
Ru2 Ru 0.386 0.018 0.634
Ru3 Ru 0.514 0.527 0.014
Ru4 Ru 0.558 0.103 0.178
Ru5 Ru 0.866 0.962 0.475
Ru6 Ru 0.875 0.507 0.620
```

[6]
# PrAl2GaPd2

PrAl2GaPd2 after structural relaxation (PBE-GGA, the Alexandria database).

Properties
Energy of formation = -0.4853 eV per atom

Cell and atoms, written as CIF:
```
data_PrAl2GaPd2
_space_group_name_H-M_alt 'P 4/m m m'
_space_group_IT_number 123
_space_group_name_Hall '-P 4 2'
_cell_length_a 4.659
_cell_length_b 4.659
_cell_length_c 5.718
_cell_angle_alpha 90.00
_cell_angle_beta 90.00
_cell_angle_gamma 90.00
loop_
_atom_site_label
_atom_site_type_symbol
_atom_site_fract_x
_atom_site_fract_y
_atom_site_fract_z
Pr1 Pr 0.000 0.000 0.000
Al1 Al 0.500 0.500 0.245
Ga1 Ga 0.000 0.000 0.500
Pd1 Pd 0.000 0.500 0.500
```

[7]
# Cr2Si6Mo

Cr2Si6Mo after structural relaxation (PBE-GGA, the Alexandria database).

Properties
Formation energy from raw total energies = -384 meV/atom

Cell and atoms, written as CIF:
```
data_Cr2Si6Mo
_space_group_name_H-M_alt 'C 2 2 2'
_space_group_IT_number 21
_cell_length_a 4.505
_cell_length_b 7.756
_cell_length_c 6.443
_cell_angle_alpha 90.00
_cell_angle_beta 90.00
_cell_angle_gamma 90.00
loop_
_space_group_symop_operation_xyz
'x,y,z'
'-x,-y,z'
'x,-y,-z'
'-x,y,-z'
'x+1/2,y+1/2,z'
'-x+1/2,-y+1/2,z'
'x+1/2,-y+1/2,-z'
'-x+1/2,y+1/2,-z'
loop_
_atom_site_label
_atom_site_type_symbol
_atom_site_fract_x
_atom_site_fract_y
_atom_site_fract_z
Cr1 Cr 0.250 0.250 0.165
Si1 Si 0.000 0.334 0.500
Si2 Si 0.245 0.415 0.839
Mo1 Mo 0.000 0.000 0.500
```

[8]
# CeY2Ag

CeY2Ag after structural relaxation (PBE-GGA, the Alexandria database).

Properties
Energy of formation = 0.0345 eV per atom
Distance to the lowest polymorph of the same formula = 0.124 eV per atom

Cell and atoms, written as CIF:
```
data_CeY2Ag
_space_group_name_H-M_alt 'P 4/m m m'
_space_group_IT_number 123
_space_group_name_Hall '-P 4 2'
_cell_length_a 5.444
_cell_length_b 5.444
_cell_length_c 3.596
_cell_angle_alpha 90.00
_cell_angle_beta 90.00
_cell_angle_gamma 90.00
loop_
_atom_site_label
_atom_site_type_symbol
_atom_site_fract_x
_atom_site_fract_y
_atom_site_fract_z
Ce1 Ce 0.000 0.000 0.000
Y1 Y 0.000 0.500 0.500
Ag1 Ag 0.500 0.500 0.000
```

[9]
# CdCu3

CdCu3 after structural relaxation (PBE-GGA, the Alexandria database).

Properties
Energy of formation = 0.0901 eV per atom

Cell and atoms, written as CIF:
```
data_CdCu3
_space_group_name_H-M_alt 'P n m a'
_space_group_IT_number 62
_cell_length_a 4.718
_cell_length_b 8.828
_cell_length_c 5.465
_cell_angle_alpha 90.00
_cell_angle_beta 90.00
_cell_angle_gamma 90.00
loop_
_space_group_symop_operation_xyz
'x,y,z'
'-x,-y,-z'
'-x+1/2,-y,z+1/2'
'x+1/2,y,-z+1/2'
'x+1/2,-y+1/2,-z+1/2'
'-x+1/2,y+1/2,z+1/2'
'-x,y+1/2,-z'
'x,-y+1/2,z'
loop_
_atom_site_label
_atom_site_type_symbol
_atom_site_fract_x
_atom_site_fract_y
_atom_site_fract_z
Cd1 Cd 0.074 0.250 0.108
Cu1 Cu 0.084 0.250 0.626
Cu2 Cu 0.224 0.506 0.362
```

[10]
# Li2PmInO4

Li2PmInO4 after structural relaxation (PBE-GGA, the Alexandria database).

Properties
Formation energy from raw total energies = -2213 meV/atom

Cell and atoms, written as CIF:
```
data_Li2PmInO4
_space_group_name_H-M_alt 'I -4 2 m'
_space_group_IT_number 121
_space_group_name_Hall 'I -4 2'
_cell_length_a 5.378
_cell_length_b 5.378
_cell_length_c 6.977
_cell_angle_alpha 90.00
_cell_angle_beta 90.00
_cell_angle_gamma 90.00
loop_
_atom_site_label
_atom_site_type_symbol
_atom_site_fract_x
_atom_site_fract_y
_atom_site_fract_z
Li1 Li 0.000 0.500 0.250
Pm1 Pm 0.000 0.000 0.000
In1 In 0.000 0.000 0.500
O1 O 0.234 0.234 0.342
```

[11]
# KLaGe2B

KLaGe2B after structural relaxation (PBE-GGA, the Alexandria database).

Properties
Energy of formation = 0.2933 eV per atom

Cell and atoms, written as CIF:
```
data_KLaGe2B
_space_group_name_H-M_alt 'P 4/m m m'
_space_group_IT_number 123
_space_group_name_Hall '-P 4 2'
_cell_length_a 4.765
_cell_length_b 4.765
_cell_length_c 5.142
_cell_angle_alpha 90.00
_cell_angle_beta 90.00
_cell_angle_gamma 90.00
loop_
_atom_site_label
_atom_site_type_symbol
_atom_site_fract_x
_atom_site_fract_y
_atom_site_fract_z
K1 K 0.000 0.000 0.000
La1 La 0.500 0.500 0.000
Ge1 Ge 0.000 0.500 0.500
B1 B 0.500 0.500 0.500
```

[12]
# CuI2N

CuI2N after structural relaxation (PBE-GGA, the Alexandria database).

Properties
Distance to the lowest polymorph of the same formula = 0.000 eV per atom
Formation energy from raw total energies = 1056 meV/atom

Cell and atoms, written as CIF:
```
data_CuI2N
_space_group_name_H-M_alt 'I -4 2 d'
_space_group_IT_number 122
_space_group_name_Hall 'I -4 2bw'
_cell_length_a 5.475
_cell_length_b 5.475
_cell_length_c 13.101
_cell_angle_alpha 90.00
_cell_angle_beta 90.00
_cell_angle_gamma 90.00
loop_
_atom_site_label
_atom_site_type_symbol
_atom_site_fract_x
_atom_site_fract_y
_atom_site_fract_z
Cu1 Cu 0.000 0.000 0.000
I1 I 0.200 0.250 0.625
N1 N 0.000 0.000 0.500
```

| no. | magnetic moment (μB/atom) | uncorrected energy (hartree per atom) | D(E_F) (states/eV per cell) |
| --- | --- | --- | --- |
| 1 | 0.000 | -0.2859 | 7.663 |
| 2 | 0.000 | -0.1140 | 6.412 |
| 3 | 0.684 | -0.2520 | 97.860 |
| 4 | 0.000 | -0.2151 | 6.380 |
| 5 | 0.000 | -0.3491 | 6.546 |
| 6 | 0.000 | -0.1751 | 3.845 |
| 7 | 0.000 | -0.2698 | 0.042 |
| 8 | 0.108 | -0.1982 | 7.782 |
| 9 | 0.000 | -0.1180 | 5.423 |
| 10 | 0.000 | -0.2244 | 0.000 |
| 11 | 0.000 | -0.1505 | 2.738 |
| 12 | 0.000 | -0.1038 | 3.056 |